(1)
A geometry-optimized AcSm2Y structure. Source: Alexandria via LeMat-Bulk, functional PBE-GGA.

```
AcSm2Y
1.0
-0.3841 5.8861 0.1909
-3.4324 2.8598 -3.8562
-4.9854 2.5740 1.8303
Sm Y Ac
2 1 1
Direct
0.2500 0.2500 0.2500
0.7500 0.7500 0.7500
0.5000 0.5000 0.5000
0.0000 0.0000 0.0000
```

Polymorph energy (0 for the lowest one) in meV/atom: 123
Energy relative to the elements in eV/f.u.: 0.6
Total magnetic moment in μB per formula unit: 0.008
DOS(E_F) in states/eV per cell: 10.18
SG: Fm-3m, No. 225


(2)
A geometry-optimized ZrInCu2 structure. Source: Alexandria via LeMat-Bulk, functional PBE-GGA.

```
ZrInCu2
1.0
5.5868 0.0124 0.0044
2.7743 4.8493 -0.0044
-3.6268 -3.3833 2.5715
In Cu Zr
1 2 1
Direct
0.5210 0.5210 0.0000
0.9728 0.9728 0.0000
0.7643 0.2643 0.5000
0.2419 0.7419 0.5000
```

Energy relative to the elements in eV/f.u.: 0.0
Total magnetic moment in μB per formula unit: 0.000
DOS(E_F) in states/eV per cell: 2.56
SG: Imm2, No. 44


(3)
A geometry-optimized ScPaIr2 structure. Source: Alexandria via LeMat-Bulk, functional PBE-GGA.

```
ScPaIr2
1.0
-2.9760 -0.7924 -1.4047
2.1287 -3.3392 -2.6263
-0.7709 -3.1924 3.4341
Ir Pa Sc
2 1 1
Direct
0.0000 0.0000 0.5000
0.0000 0.5000 0.0000
0.5000 0.5000 0.5000
0.5000 0.0000 0.0000
```

Polymorph energy (0 for the lowest one) in meV/atom: 0
Energy relative to the elements in eV/f.u.: -3.2
Total magnetic moment in μB per formula unit: 0.000
DOS(E_F) in states/eV per cell: 3.97
SG: P4/mmm, No. 123


(4)
A geometry-optimized La2B6Ir9 structure. Source: Alexandria via LeMat-Bulk, functional PBE-GGA.

```
La2B6Ir9
1.0
-4.1674 -0.7931 -3.8546
5.4746 0.1603 -1.6902
0.5940 -8.5369 1.1144
B Ir La
6 9 2
Direct
0.6667 0.3333 0.3331
0.3333 0.6667 0.6669
0.3333 0.6667 0.3331
0.3333 0.6667 0.0000
0.6667 0.3333 0.0000
0.6667 0.3333 0.6669
0.5000 0.0000 0.1631
0.5000 0.0000 0.5000
0.0000 0.5000 0.5000
0.0000 0.5000 0.8369
0.0000 0.5000 0.1631
0.5000 0.0000 0.8369
0.5000 0.5000 0.8369
0.5000 0.5000 0.5000
0.5000 0.5000 0.1631
0.0000 0.0000 0.2938
0.0000 0.0000 0.7062
```

Energy relative to the elements in eV/f.u.: -10.0
Total magnetic moment in μB per formula unit: 0.000
DOS(E_F) in states/eV per cell: 2.17
SG: P6/mmm, No. 191


(5)
A geometry-optimized KAcNpO6 structure. Source: Alexandria via LeMat-Bulk, functional PBE-GGA.

```
KAcNpO6
1.0
-2.3311 -4.9025 0.6770
1.9187 -0.2055 5.1189
-9.2439 4.9011 3.6617
K Np O Ac
2 2 12 2
Direct
0.0000 0.0000 0.9993
0.5000 0.5000 0.4993
0.0000 0.0000 0.3335
0.5000 0.5000 0.8335
0.3352 0.3352 0.9727
0.8157 0.1843 0.2041
0.2424 0.7576 0.8216
0.2576 0.2576 0.3216
0.1648 0.8352 0.4727
0.7424 0.7424 0.3216
0.7576 0.2424 0.8216
0.8352 0.1648 0.4727
0.6648 0.6648 0.9727
0.1843 0.8157 0.2041
0.6843 0.6843 0.7041
0.3157 0.3157 0.7041
0.0000 0.0000 0.6704
0.5000 0.5000 0.1704
```

Formation energy from raw total energies in eV per atom: -2.464
Total magnetic moment in μB per formula unit: 0.845
DOS(E_F) in states/eV per cell: 23.28
SG: P4_2nm, No. 102


(6)
A geometry-optimized Tb3TlI7 structure. Source: Alexandria via LeMat-Bulk, functional PBE-GGA.

```
Tb3TlI7
1.0
-3.9307 2.7000 -6.0339
2.4640 -6.6206 -4.5676
-7.1190 -0.3856 4.4651
I Tl Tb
7 1 3
Direct
0.5585 0.8353 0.1647
0.5585 0.8353 0.6706
0.0386 0.6706 0.8353
0.0386 0.1647 0.8353
0.0264 0.6667 0.3333
0.0386 0.1647 0.3294
0.5585 0.3294 0.1647
0.4286 0.3333 0.6667
0.7895 0.4891 0.5109
0.7895 0.4891 0.9782
0.7895 0.0218 0.5109
```

Formation energy from raw total energies in eV per atom: -1.047
Total magnetic moment in μB per formula unit: 0.829
DOS(E_F) in states/eV per cell: 3.32
SG: P3m1, No. 156


Summary of DFT total energy in eV per atom
-4.845 -4.869 -9.194 -8.215 -7.786 -3.511
(order as listed above)